Density functional theory data (PBE-GGA) for crystalline KIn3F at its relaxed geometry.

Properties
* energy relative to the lowest polymorph listed for this composition: 0.0 meV/atom
* energy relative to the elements, uncorrected: -0.54 eV/atom

Cell lengths 5.287, 5.287, 5.287 Å; angles 90.00, 90.00, 90.00 degrees
Space group Pm-3m (No. 221)
Symmetry-distinct sites (fractional):
1 K 0.000 0.000 0.000 [1 per cell]
2 In 0.000 0.500 0.500 [3 per cell]
3 F 0.500 0.500 0.500 [1 per cell]

---

Density functional theory data (PBE-GGA) for crystalline YHIr3 at its relaxed geometry.

Properties
* energy relative to the lowest polymorph listed for this composition: 2982.6 meV/atom

Cell lengths 5.065, 5.065, 5.065 Å; angles 90.00, 90.00, 90.00 degrees
Space group Pm-3m (No. 221)
Symmetry-distinct sites (fractional):
1 Y 0.000 0.000 0.000 [1 per cell]
2 H 0.500 0.500 0.500 [1 per cell]
3 Ir 0.000 0.000 0.500 [3 per cell]

---

Density functional theory data (PBE-GGA) for crystalline Ho5HgBi2 at its relaxed geometry.

Properties
* formation enthalpy at 0 K: -0.27 eV/atom

Cell lengths 5.763, 11.731, 14.367 Å; angles 90.00, 90.00, 90.00 degrees
Space group Cmcm (No. 63)
Symmetry-distinct sites (fractional):
1 Ho 0.000 0.070 0.102 [8 per cell]
2 Ho 0.000 0.379 0.050 [8 per cell]
3 Ho 0.000 0.424 0.750 [4 per cell]
4 Hg 0.000 0.286 0.250 [4 per cell]
5 Bi 0.000 0.203 0.617 [8 per cell]

---

Density functional theory data (PBE-GGA) for crystalline SrNd2In2Hg2 at its relaxed geometry.

Properties
* formation enthalpy at 0 K: -0.36 eV/atom

Cell lengths 5.0041, 5.0041, 29.6824 Å; angles 90.00, 90.00, 120.00 degrees
Space group R-3m (No. 166, hexagonal axes)
Symmetry-distinct sites (fractional):
1 Sr 0.0000 0.0000 0.0000 [3 per cell]
2 Nd 0.0000 0.0000 0.1291 [6 per cell]
3 In 0.0000 0.0000 0.2525 [6 per cell]
4 Hg 0.0000 0.0000 0.4077 [6 per cell]

---

Density functional theory data (PBE-GGA) for crystalline Rb3AlCr at its relaxed geometry.

Properties
* energy relative to the lowest polymorph listed for this composition: 0.0 meV/atom
* formation enthalpy at 0 K: 0.96 eV/atom

Cell lengths 6.930, 6.930, 6.930 Å; angles 90.00, 90.00, 90.00 degrees
Space group Pm-3m (No. 221)
Symmetry-distinct sites (fractional):
1 Rb 0.000 0.000 0.500 [3 per cell]
2 Al 0.000 0.000 0.000 [1 per cell]
3 Cr 0.500 0.500 0.500 [1 per cell]

---

Density functional theory data (PBE-GGA) for crystalline K2InHgBi at its relaxed geometry.

Properties
* formation enthalpy at 0 K: -0.31 eV/atom

Cell lengths 8.575, 5.207, 8.588 Å; angles 90.00, 107.85, 90.00 degrees
Space group P2_1/m (No. 11)
Symmetry-distinct sites (fractional):
1 K 0.122 0.250 0.370 [2 per cell]
2 K 0.318 0.250 0.951 [2 per cell]
3 In 0.429 0.750 0.322 [2 per cell]
4 Hg 0.097 0.750 0.062 [2 per cell]
5 Bi 0.349 0.750 0.656 [2 per cell]

---

Density functional theory data (PBE-GGA) for crystalline Nd4SmSc2 at its relaxed geometry.

Properties
* energy relative to the lowest polymorph listed for this composition: 0.0 meV/atom
* formation enthalpy at 0 K: 0.18 eV/atom

Cell lengths 8.765, 6.455, 9.070 Å; angles 90.00, 118.12, 90.00 degrees
Space group P2_1/m (No. 11)
Symmetry-distinct sites (fractional):
1 Nd 0.115 0.003 0.232 [4 per cell]
2 Nd 0.130 0.750 0.578 [2 per cell]
3 Nd 0.268 0.250 0.769 [2 per cell]
4 Sm 0.450 0.250 0.189 [2 per cell]
5 Sc 0.301 0.750 0.004 [2 per cell]
6 Sc 0.494 0.250 0.567 [2 per cell]

---

Density functional theory data (PBE-GGA) for crystalline Ba2LaAg3O6 at its relaxed geometry.

Properties
* energy relative to the elements, uncorrected: -1.59 eV/atom

Cell lengths 4.162, 4.162, 12.724 Å; angles 90.00, 90.00, 90.00 degrees
Space group P4/mmm (No. 123)
Symmetry-distinct sites (fractional):
1 Ba 0.000 0.000 0.201 [2 per cell]
2 La 0.000 0.000 0.500 [1 per cell]
3 Ag 0.500 0.500 0.000 [1 per cell]
4 Ag 0.500 0.500 0.361 [2 per cell]
5 O 0.000 0.500 0.380 [4 per cell]
6 O 0.500 0.500 0.161 [2 per cell]

---

Density functional theory data (PBE-GGA) for crystalline Nd2NiGe4Ir3 at its relaxed geometry.

Properties
* formation enthalpy at 0 K: -0.72 eV/atom

Cell lengths 4.280, 4.280, 10.083 Å; angles 90.00, 90.00, 90.00 degrees
Space group P-4m2 (No. 115)
Symmetry-distinct sites (fractional):
1 Nd 0.000 0.500 0.247 [2 per cell]
2 Ni 0.000 0.000 0.500 [1 per cell]
3 Ge 0.000 0.000 0.000 [1 per cell]
4 Ge 0.000 0.500 0.627 [2 per cell]
5 Ge 0.500 0.500 0.000 [1 per cell]
6 Ir 0.000 0.500 0.871 [2 per cell]
7 Ir 0.500 0.500 0.500 [1 per cell]

---

Density functional theory data (PBE-GGA) for crystalline SrErAs2Pd5 at its relaxed geometry.

Properties
* formation enthalpy at 0 K: -0.66 eV/atom

Cell lengths 4.392, 4.392, 8.886 Å; angles 90.00, 90.00, 90.00 degrees
Space group P4/mmm (No. 123)
Symmetry-distinct sites (fractional):
1 Sr 0.000 0.000 0.000 [1 per cell]
2 Er 0.000 0.000 0.500 [1 per cell]
3 As 0.500 0.500 0.362 [2 per cell]
4 Pd 0.000 0.500 0.240 [4 per cell]
5 Pd 0.500 0.500 0.000 [1 per cell]

---

Density functional theory data (PBE-GGA) for crystalline LaTh2Mg at its relaxed geometry.

Properties
* energy relative to the lowest polymorph listed for this composition: 37.2 meV/atom
* formation enthalpy at 0 K: 0.10 eV/atom

Cell lengths 3.614, 3.614, 9.655 Å; angles 90.00, 90.00, 90.00 degrees
Space group P4/mmm (No. 123)
Symmetry-distinct sites (fractional):
1 La 0.000 0.000 0.000 [1 per cell]
2 Th 0.500 0.500 0.270 [2 per cell]
3 Mg 0.000 0.000 0.500 [1 per cell]

---

Density functional theory data (PBE-GGA) for crystalline Cu2TcIr at its relaxed geometry.

Properties
* energy relative to the lowest polymorph listed for this composition: 234.6 meV/atom
* formation enthalpy at 0 K: 0.27 eV/atom

Cell lengths 2.612, 2.612, 7.883 Å; angles 90.00, 90.00, 90.00 degrees
Space group P4/mmm (No. 123)
Symmetry-distinct sites (fractional):
1 Cu 0.000 0.000 0.247 [2 per cell]
2 Tc 0.500 0.500 0.500 [1 per cell]
3 Ir 0.500 0.500 0.000 [1 per cell]

---

VASP energy in Ha/atom, matching the order above: -0.102, -0.170, -0.152, -0.104, -0.084, -0.078, -0.185, -0.202, -0.248, -0.194, -0.192, -0.242